First-principles (PBE) data for a relaxed structure of LaZnSiNi3, as listed in Alexandria via LeMat-Bulk.

Cell lengths 6.017, 12.017, 5.456 Å; angles 90.00, 90.00, 90.00 degrees
Space group Cmcm (No. 63)
Asymmetric unit:
La: 0.000 0.218 0.250 [4 per cell]
Zn: 0.000 0.136 0.750 [4 per cell]
Si: 0.000 0.467 0.250 [4 per cell]
Ni: 0.000 0.345 0.750 [4 per cell]
Ni: 0.208 0.000 0.000 [8 per cell]

Computed properties:
Energy relative to the elements, uncorrected = -0.30 eV/atom